# RbMnReO6

A relaxed structure of RbMnReO6 (PBE+U, Alexandria).

a = 5.1553 Å, b = 5.1560 Å, c = 6.3500 Å
α = 90.05°, β = 90.09°, γ = 60.00°
Closest atoms and distances in Å follow each position.
Atoms (fractional coordinates):
O 0.9952 0.6090 0.6698  1 Re 1.90, 1 Mn 1.94
O 0.6085 0.9948 0.3300  1 Re 1.90, 1 Mn 1.94
O 0.3957 0.6091 0.3302  1 Re 1.90, 1 Mn 1.94
O 0.3967 0.9948 0.6699  1 Re 1.90, 1 Mn 1.94
O 0.6093 0.3961 0.6698  1 Re 1.90, 1 Mn 1.94
O 0.9945 0.3961 0.3302  1 Re 1.90, 1 Mn 1.94
Mn 0.3333 0.3333 0.5000  6 O 1.94
Rb 0.0000 0.0000 0.0000  6 O 2.92
Re 0.6666 0.6668 0.5000  6 O 1.90

Properties
Calculated total energy   -7.186 eV per atom